Here is a relaxed Re2Tc crystal from the Alexandria database. Energies are from PBE-GGA.

## Properties
Energy of formation from the pure elements ... 1.9 meV/atom
DOS(E_F) ... 2.75 states/eV/f.u.

Lattice parameters (Å, degrees): 4.799 4.799 4.458 90.00 90.00 60.04
Positions (direct):
Re 0.000 0.333 0.250
Re 0.000 0.667 0.750
Re 0.333 0.000 0.750
Re 0.667 0.000 0.250
Tc 0.334 0.666 0.250
Tc 0.666 0.334 0.750



Here is a relaxed ReTc3 crystal from the Alexandria database. Energies are from PBE-GGA.

## Properties
Energy of formation from the pure elements ... 270.3 meV/atom
DOS(E_F) ... 5.04 states/eV/f.u.

Lattice parameters (Å, degrees): 4.378 4.378 4.378 60.00 60.00 60.00
Positions (direct):
Re 0.000 0.000 0.000
Tc 0.250 0.250 0.250
Tc 0.500 0.500 0.500
Tc 0.750 0.750 0.750



Here is a relaxed Re13Tc2 crystal from the Alexandria database. Energies are from PBE-GGA.

## Properties
Energy of formation from the pure elements ... 707.5 meV/atom
DOS(E_F) ... 11.48 states/eV/f.u.

Lattice parameters (Å, degrees): 7.010 7.010 7.010 60.02 60.02 60.02
Positions (direct):
Re 0.000 0.000 0.000
Re 0.155 0.155 0.533
Re 0.155 0.533 0.155
Re 0.298 0.298 0.700
Re 0.298 0.700 0.298
Re 0.300 0.702 0.702
Re 0.467 0.845 0.845
Re 0.533 0.155 0.155
Re 0.700 0.298 0.298
Re 0.702 0.300 0.702
Re 0.702 0.702 0.300
Re 0.845 0.467 0.845
Re 0.845 0.845 0.467
Tc 0.155 0.155 0.155
Tc 0.845 0.845 0.845



Here is a relaxed Re6Tc crystal from the Alexandria database. Energies are from PBE-GGA.

## Properties
Energy of formation from the pure elements ... 111.9 meV/atom
DOS(E_F) ... 5.14 states/eV/f.u.

Lattice parameters (Å, degrees): 8.945 8.945 5.507 90.00 90.00 151.38
Positions (direct):
Re 0.002 0.998 0.750
Re 0.152 0.848 0.502
Re 0.152 0.848 0.998
Re 0.293 0.707 0.250
Re 0.429 0.571 0.503
Re 0.429 0.571 0.997
Re 0.571 0.429 0.003
Re 0.571 0.429 0.497
Re 0.707 0.293 0.750
Re 0.848 0.152 0.002
Re 0.848 0.152 0.498
Re 0.998 0.002 0.250
Tc 0.292 0.708 0.750
Tc 0.708 0.292 0.250



Here is a relaxed Re3Tc5 crystal from the Alexandria database. Energies are from PBE-GGA.

## Properties
Energy of formation from the pure elements ... 67.1 meV/atom
DOS(E_F) ... 8.01 states/eV/f.u.

Lattice parameters (Å, degrees): 5.517 5.517 3.879 90.00 90.00 90.04
Positions (direct):
Re 0.000 0.000 0.000
Re 0.250 0.750 0.500
Re 0.750 0.250 0.500
Tc 0.000 0.500 0.000
Tc 0.250 0.250 0.500
Tc 0.500 0.000 0.000
Tc 0.500 0.500 0.000
Tc 0.750 0.750 0.500



Here is a relaxed Re17Tc12 crystal from the Alexandria database. Energies are from PBE-GGA.

## Properties
Energy of formation from the pure elements ... 42.5 meV/atom
DOS(E_F) ... 16.62 states/eV/f.u.

Lattice parameters (Å, degrees): 8.264 8.264 8.264 109.47 109.47 109.47
Positions (direct):
Re 0.000 0.000 0.000
Re 0.000 0.000 0.641
Re 0.000 0.397 0.684
Re 0.000 0.641 0.000
Re 0.000 0.684 0.397
Re 0.287 0.603 0.603
Re 0.316 0.316 0.713
Re 0.316 0.713 0.316
Re 0.359 0.359 0.359
Re 0.397 0.000 0.684
Re 0.397 0.684 0.000
Re 0.603 0.287 0.603
Re 0.603 0.603 0.287
Re 0.641 0.000 0.000
Re 0.684 0.000 0.397
Re 0.684 0.397 0.000
Re 0.713 0.316 0.316
Tc 0.000 0.191 0.371
Tc 0.000 0.371 0.191
Tc 0.179 0.809 0.809
Tc 0.191 0.000 0.371
Tc 0.191 0.371 0.000
Tc 0.371 0.000 0.191
Tc 0.371 0.191 0.000
Tc 0.629 0.629 0.821
Tc 0.629 0.821 0.629
Tc 0.809 0.179 0.809
Tc 0.809 0.809 0.179
Tc 0.821 0.629 0.629



Here is a relaxed Re5Tc crystal from the Alexandria database. Energies are from PBE-GGA.

## Properties
Energy of formation from the pure elements ... 67.2 meV/atom
DOS(E_F) ... 4.82 states/eV/f.u.

Lattice parameters (Å, degrees): 2.768 2.768 11.700 90.00 90.00 90.00
Positions (direct):
Re 0.000 0.000 0.000
Re 0.000 0.000 0.334
Re 0.000 0.000 0.666
Re 0.500 0.500 0.167
Re 0.500 0.500 0.833
Tc 0.500 0.500 0.500



Here is a relaxed ReTc2 crystal from the Alexandria database. Energies are from PBE-GGA.

## Properties
Energy of formation from the pure elements ... 4.5 meV/atom
DOS(E_F) ... 3.01 states/eV/f.u.

Lattice parameters (Å, degrees): 5.228 5.228 6.524 104.10 104.10 30.74
Positions (direct):
Re 0.000 0.000 0.000
Re 0.667 0.667 0.333
Tc 0.054 0.054 0.610
Tc 0.334 0.334 0.668
Tc 0.387 0.387 0.277
Tc 0.721 0.721 0.942



Total magnetization (μB/f.u.)
0.00; 0.00; 0.00; 0.00; 0.00; 0.00; 0.00; 0.00